(1)
The following is a DFT calculation (PBE-GGA) of a relaxed Sm2ReN4 crystal.

Properties
The density is 8.39 Mg/m³. The excess energy over the best structure of this formula in the dataset comes out at 0.097 eV per atom. The space group is Fd-3m. As for the magnetic moment: 0.00 μB per formula unit. The value obtained for the volume is 214.87 Å³/cell. The calculation puts the density of states at the Fermi level at 0.190 states/eV/atom.

Cell: 6.723 6.723 6.723 Å, 60.00 60.00 60.00°
Fractional coordinates of all 14 atoms:
Sm1 0.000 0.000 0.000
Sm2 0.000 0.000 0.500
Sm3 0.000 0.500 0.000
Sm4 0.500 0.000 0.000
Re1 0.375 0.375 0.375
Re2 0.625 0.625 0.625
N1 0.262 0.262 0.262
N2 0.262 0.262 0.713
N3 0.262 0.713 0.262
N4 0.287 0.738 0.738
N5 0.713 0.262 0.262
N6 0.738 0.287 0.738
N7 0.738 0.738 0.287
N8 0.738 0.738 0.738

---

(2)
The following is a DFT calculation (PBE-GGA) of a relaxed SrLa2Sb crystal.

Properties
The density is 5.65 Mg/m³. The space group is Imm2. As for the magnetic moment: 0.00 μB per formula unit. The value obtained for the volume is 143.30 Å³/cell. The calculation puts the density of states at the Fermi level at 1.299 states/eV/atom.

Cell: 6.984 6.984 6.984 Å, 143.68 134.17 59.83°
Fractional coordinates of all 4 atoms:
Sr1 0.000 0.000 0.000
La1 0.287 0.787 0.500
La2 0.576 0.576 0.000
Sb1 0.783 0.283 0.500

---

(3)
The following is a DFT calculation (PBE-GGA) of a relaxed Cs3Tb2I8 crystal.

Properties
The density is 3.79 Mg/m³. The space group is R-3m. As for the magnetic moment: 1.00 μB per formula unit. The value obtained for the volume is 759.06 Å³/cell.

Cell: 11.407 11.407 11.407 Å, 48.32 48.32 48.32°
Fractional coordinates of all 13 atoms:
Cs1 0.000 0.000 0.000
Cs2 0.211 0.211 0.211
Cs3 0.789 0.789 0.789
Tb1 0.434 0.434 0.434
Tb2 0.566 0.566 0.566
I1 0.196 0.740 0.740
I2 0.260 0.260 0.804
I3 0.260 0.804 0.260
I4 0.335 0.335 0.335
I5 0.665 0.665 0.665
I6 0.740 0.196 0.740
I7 0.740 0.740 0.196
I8 0.804 0.260 0.260

---

(4)
The following is a DFT calculation (PBE-GGA) of a relaxed K3TcI7 crystal.

Properties
The density is 3.68 Mg/m³. The space group is Cm. As for the magnetic moment: 2.92 μB per formula unit. The value obtained for the volume is 498.23 Å³/cell.

Cell: 7.766 7.766 8.493 Å, 98.33 98.33 95.13°
Fractional coordinates of all 11 atoms:
K1 0.000 0.000 0.000
K2 0.298 0.726 0.448
K3 0.726 0.298 0.448
Tc1 0.525 0.525 0.952
I1 0.070 0.070 0.416
I2 0.200 0.544 0.785
I3 0.363 0.363 0.169
I4 0.513 0.852 0.127
I5 0.544 0.200 0.785
I6 0.684 0.684 0.724
I7 0.852 0.513 0.127

---

Number 1: ΔE_f (raw) -5.29 eV/f.u.. Number 2: ΔE_f (raw) -1.75 eV/f.u.. Number 3: ΔE_f (raw) -17.30 eV/f.u.. Number 4: ΔE_f (raw) -8.70 eV/f.u..